[1]
Ho6AgGe2S14, relaxed, DFT GGA-PBEsol; calculated volume = 19.938 Å³ per atom; space-group type = No. 143; D(E_F) = 0.435 states/eV per atom; raw formation energy = -1479 meV per atom
1.0
-5.169 -0.694 2.116
-1.074 -8.073 -5.269
3.728 -0.504 8.941
S Ho Ge Ag
14 6 2 1
Direct
0.290 0.566 0.496
0.021 0.572 0.817
0.573 0.333 0.667
0.290 0.504 0.071
0.516 0.088 0.238
0.290 0.929 0.434
0.068 0.000 0.000
0.784 0.405 0.237
0.021 0.246 0.428
0.021 0.183 0.754
0.784 0.763 0.168
0.516 0.150 0.912
0.516 0.762 0.850
0.784 0.832 0.595
0.263 0.311 0.202
0.762 0.023 0.464
0.263 0.891 0.689
0.263 0.798 0.109
0.762 0.536 0.559
0.762 0.441 0.977
0.681 0.000 0.000
0.186 0.333 0.667
0.534 0.667 0.333

[2]
Ag9Ge2IO8, relaxed, DFT GGA-PBEsol; calculated volume = 16.003 Å³ per atom; space-group type = No. 12; D(E_F) = 0.239 states/eV per atom; raw formation energy = -527 meV per atom
1.0
5.658 0.000 0.004
0.000 6.490 0.000
-2.385 -3.245 8.714
O I Ag Ge
8 1 9 2
Direct
0.406 0.600 0.758
0.594 0.400 0.242
0.955 0.379 0.757
0.406 0.158 0.758
0.128 0.244 0.489
0.594 0.842 0.242
0.045 0.621 0.243
0.872 0.756 0.511
0.000 0.000 0.000
0.000 0.500 0.000
0.707 0.598 0.642
0.723 0.200 0.400
0.500 0.260 0.000
0.707 0.045 0.642
0.293 0.955 0.358
0.277 0.800 0.600
0.293 0.402 0.358
0.500 0.740 0.000
0.775 0.654 0.307
0.225 0.346 0.693

[3]
AgGeTeI2, relaxed, DFT GGA-PBEsol; calculated volume = 32.030 Å³ per atom; space-group type = No. 123; D(E_F) = 0.633 states/eV per atom; raw formation energy = 471 meV per atom
1.0
-3.103 3.785 -2.324
-4.374 -2.111 2.403
0.778 3.274 4.293
Ag I Ge Te
1 2 1 1
Direct
0.000 0.000 0.000
0.500 0.000 0.000
0.000 0.500 0.000
0.500 0.500 0.500
0.000 0.000 0.500

[4]
AgGeTe2I, relaxed, DFT GGA-PBEsol; calculated volume = 31.646 Å³ per atom; space-group type = No. 123; D(E_F) = 0.814 states/eV per atom; raw formation energy = 534 meV per atom
1.0
5.346 0.000 0.000
0.000 5.346 0.000
0.000 0.000 5.537
Te Ag Ge I
2 1 1 1
Direct
0.000 0.500 0.000
0.500 0.000 0.000
0.500 0.500 0.500
0.000 0.000 0.000
0.000 0.000 0.500

[5]
Mg2InAgGe, relaxed, DFT GGA-PBEsol; calculated volume = 25.346 Å³ per atom; ΔE_f = 1.7 eV per formula unit; space-group type = No. 123; D(E_F) = 0.514 states/eV per atom
1.0
-1.611 -2.931 -3.729
-0.042 -3.929 3.107
-4.783 1.039 1.249
Mg In Ge Ag
2 1 1 1
Direct
0.000 0.500 0.000
0.500 0.000 0.000
0.000 0.000 0.500
0.500 0.500 0.500
0.000 0.000 0.000

[6]
InReAg2Ge, relaxed, DFT GGA-PBEsol; calculated volume = 24.664 Å³ per atom; ΔE_f = 9.3 eV per formula unit; space-group type = No. 123; D(E_F) = 0.510 states/eV per atom
1.0
4.943 0.000 0.000
0.000 4.943 0.000
0.000 0.000 5.047
Ge Re In Ag
1 1 1 2
Direct
0.000 0.000 0.500
0.500 0.500 0.500
0.000 0.000 0.000
0.000 0.500 0.000
0.500 0.000 0.000

[7]
AgGe2Ir, relaxed, DFT GGA-PBEsol; calculated volume = 15.512 Å³ per atom; ΔE_f = 0.6 eV per formula unit; space-group type = No. 225; D(E_F) = 0.472 states/eV per atom
1.0
-0.016 1.487 -4.188
-2.589 -1.950 -3.040
-3.560 2.135 -1.586
Ir Ge Ag
1 2 1
Direct
0.500 0.500 0.500
0.250 0.250 0.250
0.750 0.750 0.750
0.000 0.000 0.000

[8]
TaAg2GeIr, relaxed, DFT GGA-PBEsol; calculated volume = 22.596 Å³ per atom; ΔE_f = 10.3 eV per formula unit; space-group type = No. 123; D(E_F) = 1.094 states/eV per atom
1.0
4.781 0.000 0.000
0.000 4.861 0.000
0.000 0.000 4.861
Ge Ag Ir Ta
1 2 1 1
Direct
0.500 0.000 0.000
0.000 0.000 0.500
0.000 0.500 0.000
0.500 0.500 0.500
0.000 0.000 0.000

[9]
KAg2Ge2, relaxed, DFT GGA-PBEsol; calculated volume = 21.461 Å³ per atom; ΔE_f = -0.1 eV per formula unit; space-group type = No. 139; D(E_F) = 0.442 states/eV per atom
1.0
4.609 0.000 0.000
0.000 4.609 0.000
-2.305 -2.305 5.051
Ge K Ag
2 1 2
Direct
0.378 0.378 0.755
0.622 0.622 0.245
0.000 0.000 0.000
0.750 0.250 0.500
0.250 0.750 0.500

[10]
LaAg3Ge, relaxed, DFT GGA-PBEsol; calculated volume = 22.990 Å³ per atom; ΔE_f = 0.3 eV per formula unit; space-group type = No. 221; D(E_F) = 0.867 states/eV per atom
1.0
4.862 0.000 0.000
0.000 4.862 0.000
0.000 0.000 4.862
Ag Ge La
3 1 1
Direct
0.000 0.500 0.000
0.500 0.000 0.000
0.000 0.000 0.500
0.000 0.000 0.000
0.500 0.500 0.500

[11]
LiAgGeO2, relaxed, DFT GGA-PBEsol; calculated volume = 14.083 Å³ per atom; space-group type = No. 123; D(E_F) = 0.277 states/eV per atom; raw formation energy = -466 meV per atom
1.0
3.702 0.000 0.000
0.000 3.702 0.000
0.000 0.000 5.139
O Ge Ag Li
2 1 1 1
Direct
0.500 0.000 0.000
0.000 0.500 0.000
0.000 0.000 0.000
0.000 0.000 0.500
0.500 0.500 0.500

[12]
LuAgGe, relaxed, DFT GGA-PBEsol; calculated volume = 18.953 Å³ per atom; ΔE_f = -2.0 eV per formula unit; space-group type = No. 189; D(E_F) = 0.120 states/eV per atom
1.0
4.104 0.000 0.000
0.000 6.928 0.000
0.000 -3.464 6.000
Ge Lu Ag
3 3 3
Direct
0.500 0.333 0.667
0.500 0.667 0.333
0.000 0.000 0.000
0.000 0.581 0.000
0.000 0.419 0.419
0.000 0.000 0.581
0.500 0.000 0.251
0.500 0.251 0.000
0.500 0.749 0.749

[13]
Mg2AgGe2, relaxed, DFT GGA-PBEsol; calculated volume = 18.871 Å³ per atom; ΔE_f = -0.6 eV per formula unit; space-group type = No. 127; D(E_F) = 0.381 states/eV per atom
1.0
4.016 0.000 0.000
0.000 6.855 0.000
0.000 0.000 6.855
Ge Mg Ag
4 4 2
Direct
0.000 0.870 0.630
0.000 0.370 0.870
0.000 0.630 0.130
0.000 0.130 0.370
0.500 0.674 0.826
0.500 0.826 0.326
0.500 0.326 0.174
0.500 0.174 0.674
0.000 0.000 0.000
0.000 0.500 0.500

[14]
MgMnAgGe2, relaxed, DFT GGA-PBEsol; calculated volume = 19.342 Å³ per atom; ΔE_f = 1.7 eV per formula unit; space-group type = No. 123; D(E_F) = 0.644 states/eV per atom
1.0
4.470 0.000 0.000
0.000 4.470 0.000
0.000 0.000 4.841
Mg Ge Mn Ag
1 2 1 1
Direct
0.000 0.000 0.500
0.500 0.000 0.000
0.000 0.500 0.000
0.000 0.000 0.000
0.500 0.500 0.500

[15]
MnAg3Ge, relaxed, DFT GGA-PBEsol; calculated volume = 22.034 Å³ per atom; ΔE_f = 5.6 eV per formula unit; space-group type = No. 221; D(E_F) = 0.632 states/eV per atom
1.0
4.794 0.000 0.000
0.000 4.794 0.000
0.000 0.000 4.794
Ag Mn Ge
3 1 1
Direct
0.000 0.000 0.500
0.000 0.500 0.000
0.500 0.000 0.000
0.000 0.000 0.000
0.500 0.500 0.500

[16]
MnAg2GeTe4, relaxed, DFT GGA-PBEsol; calculated volume = 29.670 Å³ per atom; space-group type = No. 121; D(E_F) = 0.382 states/eV per atom; raw formation energy = 12 meV per atom
1.0
-5.568 0.818 2.462
2.219 -1.521 5.522
3.052 6.388 -2.883
Te Ag Mn Ge
4 2 1 1
Direct
0.873 0.873 0.242
0.127 0.631 0.758
0.631 0.127 0.758
0.369 0.369 0.242
0.250 0.750 0.500
0.750 0.250 0.500
0.000 0.000 0.000
0.500 0.500 0.000

[17]
AgGeMo3, relaxed, DFT GGA-PBEsol; calculated volume = 20.916 Å³ per atom; ΔE_f = 12.4 eV per formula unit; space-group type = No. 221; D(E_F) = 1.528 states/eV per atom
1.0
-2.766 1.461 3.523
-3.167 -3.305 -1.116
2.125 -3.023 2.923
Mo Ag Ge
3 1 1
Direct
0.000 0.500 0.000
0.500 0.000 0.000
0.000 0.000 0.500
0.000 0.000 0.000
0.500 0.500 0.500

[18]
AgGeSN2, relaxed, DFT GGA-PBEsol; calculated volume = 14.423 Å³ per atom; space-group type = No. 123; D(E_F) = 0.614 states/eV per atom; raw formation energy = 1058 meV per atom
1.0
3.673 0.000 0.000
0.000 3.673 0.000
0.000 0.000 5.346
S Ge Ag N
1 1 1 2
Direct
0.000 0.000 0.500
0.000 0.000 0.000
0.500 0.500 0.500
0.000 0.500 0.000
0.500 0.000 0.000

[19]
NaAg2Ge2, relaxed, DFT GGA-PBEsol; calculated volume = 20.106 Å³ per atom; ΔE_f = 0.0 eV per formula unit; space-group type = No. 139; D(E_F) = 0.423 states/eV per atom
1.0
-1.091 -3.819 1.933
4.190 -0.548 1.284
-2.566 4.693 2.776
Ag Ge Na
2 2 1
Direct
0.250 0.750 0.500
0.750 0.250 0.500
0.383 0.383 0.766
0.617 0.617 0.234
0.000 0.000 0.000

[20]
NaAg3Ge, relaxed, DFT GGA-PBEsol; calculated volume = 21.912 Å³ per atom; ΔE_f = 5.0 eV per formula unit; space-group type = No. 221; D(E_F) = 0.398 states/eV per atom
1.0
4.785 0.000 0.000
0.000 4.785 0.000
0.000 0.000 4.785
Ag Ge Na
3 1 1
Direct
0.500 0.000 0.000
0.000 0.500 0.000
0.000 0.000 0.500
0.500 0.500 0.500
0.000 0.000 0.000

[21]
Na5AgGe2S7, relaxed, DFT GGA-PBEsol; calculated volume = 21.944 Å³ per atom; space-group type = No. 15; D(E_F) = 0.000 states/eV per atom; raw formation energy = -818 meV per atom
1.0
6.813 0.019 0.024
-0.755 6.771 0.024
-2.309 -2.588 14.249
S Ge Na Ag
14 4 10 2
Direct
0.875 0.736 0.025
0.331 0.800 0.892
0.200 0.669 0.608
0.482 0.264 0.815
0.669 0.200 0.108
0.264 0.482 0.315
0.518 0.736 0.185
0.045 0.955 0.250
0.264 0.125 0.475
0.955 0.045 0.750
0.736 0.875 0.525
0.736 0.518 0.685
0.125 0.264 0.975
0.800 0.331 0.392
0.237 0.084 0.860
0.916 0.763 0.640
0.763 0.916 0.140
0.084 0.237 0.360
0.029 0.478 0.142
0.500 0.500 0.000
0.522 0.971 0.358
0.975 0.264 0.583
0.264 0.975 0.083
0.971 0.522 0.858
0.500 0.500 0.500
0.025 0.736 0.417
0.478 0.029 0.642
0.736 0.025 0.917
0.413 0.587 0.750
0.587 0.413 0.250

[22]
Na5AgGe2Se7, relaxed, DFT GGA-PBEsol; calculated volume = 25.130 Å³ per atom; space-group type = No. 15; raw formation energy = -716 meV per atom
1.0
7.120 -0.095 -0.044
-0.643 7.091 -0.044
-2.248 -2.429 14.981
Ag Na Ge Se
2 10 4 14
Direct
0.090 0.910 0.750
0.910 0.090 0.250
0.525 0.238 0.918
0.762 0.475 0.582
0.516 0.975 0.647
0.000 0.000 0.000
0.238 0.525 0.418
0.025 0.484 0.853
0.475 0.762 0.082
0.000 0.000 0.500
0.975 0.516 0.147
0.484 0.025 0.353
0.587 0.738 0.861
0.262 0.413 0.639
0.413 0.262 0.139
0.738 0.587 0.361
0.299 0.840 0.894
0.840 0.299 0.394
0.770 0.988 0.815
0.771 0.620 0.976
0.452 0.548 0.250
0.229 0.380 0.024
0.380 0.229 0.524
0.548 0.452 0.750
0.012 0.230 0.685
0.230 0.012 0.185
0.160 0.701 0.606
0.701 0.160 0.106
0.620 0.771 0.476
0.988 0.770 0.315

[23]
NiAg2GeOs, relaxed, DFT GGA-PBEsol; calculated volume = 21.629 Å³ per atom; ΔE_f = 7.8 eV per formula unit; space-group type = No. 123; D(E_F) = 1.093 states/eV per atom
1.0
4.356 0.000 0.000
0.000 4.983 0.000
0.000 0.000 4.983
Ni Os Ge Ag
1 1 1 2
Direct
0.500 0.000 0.000
0.000 0.000 0.000
0.500 0.500 0.500
0.000 0.500 0.000
0.000 0.000 0.500